# Li2CrCuN

Li2CrCuN after structural relaxation (GGA-PBE, Alexandria).

## Properties
**E_tot**: -26.4 eV for the cell shown
**Formation energy (no corrections)**: -102 meV per atom

Lattice parameters (Å, degrees): 3.868 3.868 3.701 90.00 90.00 90.00
Space group P4/mmm (No. 123)
Asymmetric unit:
1 Li 0.000 0.500 0.000
2 Cr 0.000 0.000 0.500
3 Cu 0.500 0.500 0.500
4 N 0.000 0.000 0.000